No. 1
## CoPRu2 (PBE)

Data for a geometry-optimized CoPRu2 structure.

* size of the total moment: 0.38 μB per formula unit
* density of states at the Fermi level: 4.67 states/eV per cell
* energy of formation: 0.002 eV/atom

a b c (Å): 7.9639 7.9639 7.9639
angles (deg): 19.79 19.79 19.79
Closest atoms and distances in Å follow each position.
Sites, in units of the cell vectors:
Co: 0.4906 0.4906 0.4906  3 P 2.29
P: 0.7533 0.7533 0.7533  3 Co 2.29, 3 Ru 2.42
Ru: 0.0083 0.0083 0.0083  3 P 2.42, 3 Ru 2.71
Ru: 0.2478 0.2478 0.2478  3 Co 2.64, 9 Ru 2.71-2.74

=====

No. 2
## GeSO2 (PBE)

Data for a geometry-optimized GeSO2 structure.

* energy relative to the elements, uncorrected: -1.487 eV per formula unit
* size of the total moment: 0.31 μB per formula unit
* density of states at the Fermi level: 2.88 states/eV per cell
* energy above the lowest structure with this stoichiometry: 0.020 eV per atom

a b c (Å): 6.3795 6.3795 6.3795
angles (deg): 28.47 28.47 28.47
Closest atoms and distances in Å follow each position.
Sites, in units of the cell vectors:
Ge: 0.5000 0.5000 0.5000  6 O 2.10
S: 0.0000 0.0000 0.0000  2 O 1.99
O: 0.8916 0.8916 0.8916  1 S 1.99, 3 Ge 2.10
O: 0.1084 0.1084 0.1084  1 S 1.99, 3 Ge 2.10

=====

No. 3
## Cs2CeNd2Se6 (PBE)

Data for a geometry-optimized Cs2CeNd2Se6 structure.

* energy relative to the elements, uncorrected: -18.910 eV per formula unit
* size of the total moment: 0.00 μB per formula unit

a b c (Å): 7.4738 7.4738 8.9365
angles (deg): 98.20 98.20 119.82
Closest atoms and distances in Å follow each position.
Sites, in units of the cell vectors:
Cs: 0.8308 0.1692 0.0000  6 Se 3.66-3.70
Cs: 0.1692 0.8308 0.0000  6 Se 3.66-3.70
Ce: 0.0000 0.0000 0.5000  6 Se 2.88-2.89
Nd: 0.3336 0.6664 0.5000  6 Se 2.98-2.99
Nd: 0.6664 0.3336 0.5000  6 Se 2.98-2.99
Se: 0.7405 0.7405 0.6839  1 Ce 2.88, 2 Nd 2.98
Se: 0.0619 0.3863 0.6844  1 Ce 2.89, 2 Nd 2.98-2.99
Se: 0.2595 0.2595 0.3161  1 Ce 2.88, 2 Nd 2.98
Se: 0.3863 0.0619 0.6844  1 Ce 2.89, 2 Nd 2.98-2.99
Se: 0.9381 0.6137 0.3156  1 Ce 2.89, 2 Nd 2.98-2.99
Se: 0.6137 0.9381 0.3156  1 Ce 2.89, 2 Nd 2.98-2.99

=====

No. 4
## CaTlAs2 (PBE)

Data for a geometry-optimized CaTlAs2 structure.

* size of the total moment: 0.00 μB per formula unit
* density of states at the Fermi level: 1.61 states/eV per cell
* energy above the lowest structure with this stoichiometry: 0.094 eV per atom
* energy of formation: -0.403 eV/atom

a b c (Å): 6.7114 6.7114 6.7114
angles (deg): 147.11 139.70 52.96
Closest atoms and distances in Å follow each position.
Sites, in units of the cell vectors:
Tl: 0.2124 0.7124 0.5000  6 As 3.25-3.37, 2 Ca 3.56
Ca: 0.4874 0.4874 0.0000  6 As 2.99-3.07
As: 0.9812 0.9812 0.0000  2 As 2.72, 4 Ca 2.99
As: 0.8189 0.3189 0.5000  2 As 2.72

=====

No. 5
## La2TcF2 (PBE)

Data for a geometry-optimized La2TcF2 structure.

* energy relative to the elements, uncorrected: -8.162 eV per formula unit
* size of the total moment: 0.00 μB per formula unit
* density of states at the Fermi level: 2.18 states/eV per cell
* energy above the lowest structure with this stoichiometry: 0.000 eV per atom

a b c (Å): 5.1595 5.1595 5.1675
angles (deg): 60.05 60.05 90.00
Closest atoms and distances in Å follow each position.
Sites, in units of the cell vectors:
F: 0.2974 0.2974 0.4052  1 Tc 2.18
F: 0.7026 0.7026 0.5948  1 Tc 2.18
Tc: 0.0000 0.0000 0.0000  2 F 2.18
La: 0.7500 0.2500 0.5000  4 F 2.60
La: 0.2500 0.7500 0.5000  4 F 2.60

=====

No. 6
## NdDy2Y5 (PBE)

Data for a geometry-optimized NdDy2Y5 structure.

* size of the total moment: 0.00 μB per formula unit
* density of states at the Fermi level: 26.39 states/eV per cell
* energy above the lowest structure with this stoichiometry: 0.034 eV per atom
* energy of formation: 0.169 eV/atom

a b c (Å): 8.8482 16.3989 11.2354
angles (deg): 90.00 90.00 160.91
Closest atoms and distances in Å follow each position.
Sites, in units of the cell vectors:
Nd: 0.3505 0.8480 0.7500  4 Dy 3.47-3.78, 7 Y 3.53-3.79
Nd: 0.6495 0.1520 0.2500  4 Dy 3.47-3.78, 7 Y 3.53-3.79
Dy: 0.6861 0.5747 0.3835  2 Dy 2.91-3.00, 1 Y 3.16
Dy: 0.6861 0.5747 0.1165  2 Dy 2.91-3.00, 1 Y 3.16
Dy: 0.3139 0.4253 0.6165  2 Dy 2.91-3.00, 1 Y 3.16
Dy: 0.3139 0.4253 0.8835  2 Dy 2.91-3.00, 1 Y 3.16
Y: 0.3788 0.0441 0.9230  3 Dy 3.16-3.52, 2 Y 3.37-3.48
Y: 0.3788 0.0441 0.5770  3 Dy 3.16-3.52, 2 Y 3.37-3.48
Y: 0.4832 0.6812 0.4222  3 Y 3.37-3.70, 2 Dy 3.52-3.57, 1 Nd 3.53
Y: 0.4832 0.6812 0.0778  3 Y 3.37-3.70, 2 Dy 3.52-3.57, 1 Nd 3.53
Y: 0.5452 0.3136 0.2500  2 Dy 3.47, 1 Nd 3.54, 6 Y 3.70-3.80
Y: 0.4548 0.6864 0.7500  2 Dy 3.47, 1 Nd 3.54, 6 Y 3.70-3.80
Y: 0.5168 0.3188 0.5778  3 Y 3.37-3.70, 2 Dy 3.52-3.57, 1 Nd 3.53
Y: 0.5168 0.3188 0.9222  3 Y 3.37-3.70, 2 Dy 3.52-3.57, 1 Nd 3.53
Y: 0.6212 0.9559 0.0770  3 Dy 3.16-3.52, 2 Y 3.37-3.48
Y: 0.6212 0.9559 0.4230  3 Dy 3.16-3.52, 2 Y 3.37-3.48

=====

No. 7
## LiZr2OsO (PBE)

Data for a geometry-optimized LiZr2OsO structure.

* energy relative to the elements, uncorrected: -6.132 eV per formula unit
* size of the total moment: 0.00 μB per formula unit
* density of states at the Fermi level: 1.51 states/eV per cell

a b c (Å): 4.5450 4.5450 3.5614
angles (deg): 90.00 90.00 90.00
Closest atoms and distances in Å follow each position.
Sites, in units of the cell vectors:
Os: 0.5000 0.5000 0.5000  8 Zr 2.89, 4 Li 3.21
O: 0.0000 0.0000 0.0000  2 Li 1.78
Zr: 0.0000 0.5000 0.0000  2 O 2.27
Zr: 0.5000 0.0000 0.0000  2 O 2.27
Li: 0.0000 0.0000 0.5000  2 O 1.78

=====

No. 8
## Ca3LaRh (PBE)

Data for a geometry-optimized Ca3LaRh structure.

* size of the total moment: 0.00 μB per formula unit
* density of states at the Fermi level: 3.53 states/eV per cell
* energy above the lowest structure with this stoichiometry: 0.211 eV per atom
* energy of formation: -0.086 eV/atom

a b c (Å): 5.5512 5.5512 5.5512
angles (deg): 90.00 90.00 90.00
Closest atoms and distances in Å follow each position.
Sites, in units of the cell vectors:
Ca: 0.0000 0.5000 0.0000  2 Rh 2.78
Ca: 0.0000 0.0000 0.5000  2 Rh 2.78
Ca: 0.5000 0.0000 0.0000  2 Rh 2.78
Rh: 0.0000 0.0000 0.0000  6 Ca 2.78
La: 0.5000 0.5000 0.5000  12 Ca 3.93

=====

No. 9
## CdHgN3 (PBE)

Data for a geometry-optimized CdHgN3 structure.

* energy relative to the elements, uncorrected: 11.854 eV per formula unit
* size of the total moment: 4.01 μB per formula unit
* density of states at the Fermi level: 1.75 states/eV per cell

a b c (Å): 4.2759 4.2759 4.2759
angles (deg): 90.00 90.00 90.00
Closest atoms and distances in Å follow each position.
Sites, in units of the cell vectors:
N: 0.0000 0.5000 0.0000  2 Cd 2.14
N: 0.0000 0.0000 0.5000  2 Cd 2.14
N: 0.5000 0.0000 0.0000  2 Cd 2.14
Hg: 0.5000 0.5000 0.5000  12 N 3.02
Cd: 0.0000 0.0000 0.0000  6 N 2.14

=====

No. 10
## Tb4TePb2Se (PBE)

Data for a geometry-optimized Tb4TePb2Se structure.

* energy relative to the elements, uncorrected: -8.176 eV per formula unit
* size of the total moment: 0.00 μB per formula unit
* density of states at the Fermi level: 3.20 states/eV per cell

a b c (Å): 4.3451 7.5782 7.5764
angles (deg): 70.76 90.00 90.00
Closest atoms and distances in Å follow each position.
Sites, in units of the cell vectors:
Tb: 0.0000 0.7457 0.7593  2 Se 3.05, 3 Pb 3.06-3.13, 1 Te 3.12
Tb: 0.0000 0.2543 0.2407  2 Se 3.05, 3 Pb 3.06-3.13, 1 Te 3.12
Tb: 0.5000 0.7516 0.2420  1 Se 3.05, 3 Pb 3.06-3.13, 2 Te 3.12
Tb: 0.5000 0.2484 0.7580  1 Se 3.05, 3 Pb 3.06-3.13, 2 Te 3.12
Te: 0.0000 0.5000 0.5000  6 Tb 3.12
Pb: 0.0000 0.0000 0.0000  6 Tb 3.06
Pb: 0.5000 0.0000 0.5000  6 Tb 3.13
Se: 0.5000 0.5000 0.0000  6 Tb 3.05